(1)
A geometry-optimized TlCuHg2Br structure, computed with PBE-GGA.

Formation energy from raw total energies in eV per atom: -0.14
Energy in eV per cell: -9.4

Unit cell a=5.1307 b=5.1307 c=5.5949 alpha=90.00 beta=90.00 gamma=90.00
With the nearest neighbours (Å) after each atom.
Sites, in units of the cell vectors:
1 Tl 0.0000 0.0000 0.0000  2 Cu 2.80
2 Cu 0.0000 0.0000 0.5000  4 Hg 2.57, 2 Tl 2.80
3 Hg 0.0000 0.5000 0.5000  2 Cu 2.57
4 Hg 0.5000 0.0000 0.5000  2 Cu 2.57
5 Br 0.5000 0.5000 0.0000  4 Tl 3.63, 8 Hg 3.80



(2)
A geometry-optimized Tl2Cu2HgBr6 structure, computed with PBE-GGA.

Formation energy from raw total energies in eV per atom: -0.50
Energy in eV per cell: -28.7

Unit cell a=7.9301 b=7.9301 c=7.7008 alpha=116.06 beta=116.06 gamma=57.48
With the nearest neighbours (Å) after each atom.
Sites, in units of the cell vectors:
1 Tl 0.2385 0.2385 0.2123  5 Br 3.30-3.48
2 Tl 0.7615 0.7615 0.7877  5 Br 3.30-3.48
3 Cu 0.4493 0.4493 0.7947  3 Br 2.35-2.40
4 Cu 0.5507 0.5507 0.2053  3 Br 2.35-2.40
5 Hg 0.0000 0.0000 0.5000  6 Br 2.83-3.12
6 Br 0.1934 0.6915 0.1935  1 Cu 2.40
7 Br 0.2551 0.2551 0.6554  1 Cu 2.35
8 Br 0.3085 0.8066 0.8065  1 Cu 2.40
9 Br 0.6915 0.1934 0.1935  1 Cu 2.40
10 Br 0.7449 0.7449 0.3446  1 Cu 2.35
11 Br 0.8066 0.3085 0.8065  1 Cu 2.40



(3)
A geometry-optimized TlCuHgBr2 structure, computed with PBE-GGA.

Formation energy from raw total energies in eV per atom: -0.34
Energy in eV per cell: -11.8

Unit cell a=5.2762 b=5.2762 c=5.2574 alpha=90.00 beta=90.00 gamma=90.00
With the nearest neighbours (Å) after each atom.
Sites, in units of the cell vectors:
1 Tl 0.0000 0.0000 0.0000  8 Br 3.72, 4 Hg 3.73
2 Cu 0.5000 0.5000 0.5000  2 Hg 2.63, 4 Br 2.64
3 Hg 0.5000 0.5000 0.0000  2 Cu 2.63
4 Br 0.0000 0.5000 0.5000  2 Cu 2.64
5 Br 0.5000 0.0000 0.5000  2 Cu 2.64



Number 3 is which compound?
TlCuHgBr2